Record 1
# BaSrCuHg

A relaxed BaSrCuHg crystal (PBE-GGA, Alexandria via LeMat-Bulk).

Calculated values
Symmetry = F-43m
DOS(E_F) = 0.75 states/eV/atom
Formation enthalpy at 0 K = -0.85 eV/f.u.

a = 8.030 Å, b = 8.030 Å, c = 8.030 Å
α = 90.00°, β = 90.00°, γ = 90.00°
Sites, in units of the cell vectors:
Ba: 0.000 0.000 0.000
Ba: 0.000 0.500 0.500
Ba: 0.500 0.000 0.500
Ba: 0.500 0.500 0.000
Sr: 0.000 0.000 0.500
Sr: 0.000 0.500 0.000
Sr: 0.500 0.000 0.000
Sr: 0.500 0.500 0.500
Cu: 0.250 0.250 0.750
Cu: 0.250 0.750 0.250
Cu: 0.750 0.250 0.250
Cu: 0.750 0.750 0.750
Hg: 0.250 0.250 0.250
Hg: 0.250 0.750 0.750
Hg: 0.750 0.250 0.750
Hg: 0.750 0.750 0.250

Record 2
# AlTcTe2N

A relaxed AlTcTe2N crystal (PBE-GGA, Alexandria via LeMat-Bulk).

Calculated values
Energy relative to the lowest polymorph listed for this composition = 0.318 eV per atom
Formation energy without anion corrections = 2.981 eV per formula unit
Symmetry = P4/mmm
DOS(E_F) = 0.38 states/eV/atom

a = 4.978 Å, b = 4.978 Å, c = 3.565 Å
α = 90.00°, β = 90.00°, γ = 90.00°
Sites, in units of the cell vectors:
Al: 0.000 0.000 0.000
Tc: 0.500 0.500 0.000
Te: 0.000 0.500 0.500
Te: 0.500 0.000 0.500
N: 0.000 0.000 0.500